Density functional theory data (PBE) for an optimized crystal structure of Pm2Ni3Ge4Rh.

## Properties
Calculated volume in Å³/atom: 17.029
Density in g/cm3: 8.382
ΔH_f (0 K) in eV/atom: -0.75

Unit cell a=4.146 b=4.146 c=9.906 alpha=90.00 beta=90.00 gamma=90.00
Space group P-4m2 (No. 115)
One atom of each set of equivalent atoms:
Pm 0.000 0.500 0.244 [2 per cell]
Ni 0.000 0.500 0.877 [2 per cell]
Ni 0.500 0.500 0.500 [1 per cell]
Ge 0.000 0.000 0.000 [1 per cell]
Ge 0.000 0.500 0.637 [2 per cell]
Ge 0.500 0.500 0.000 [1 per cell]
Rh 0.000 0.000 0.500 [1 per cell]